This record from Alexandria via LeMat-Bulk describes crystalline CuNi2Ir2 at its relaxed geometry. The functional is PBE.

Computed properties:
excess energy over the best structure of this formula in the dataset: 269 meV/atom
DFT formation energy: 0.2993 eV per atom

a = 7.169 Å, b = 7.169 Å, c = 2.668 Å
α = 90.00°, β = 90.00°, γ = 90.00°
Sites, in units of the cell vectors:
Cu: 0.000 0.000 0.000
Cu: 0.500 0.500 0.000
Ni: 0.170 0.670 0.500
Ni: 0.330 0.170 0.500
Ni: 0.670 0.830 0.500
Ni: 0.830 0.330 0.500
Ir: 0.129 0.371 0.000
Ir: 0.871 0.629 0.000
Ir: 0.629 0.129 0.000
Ir: 0.371 0.871 0.000